DFT (PBE) results for crystalline CaCrNi at its relaxed geometry.

Calculated values
- theoretical density (g cm⁻³) = 3.63
- space-group type = F-43m, No. 216
- ΔH_f (0 K) (eV/atom) = 1.1337

```
3
Lattice="0.000 3.255 3.255 3.255 0.000 3.255 3.255 3.255 0.000" Properties=species:S:1:pos:R:3 pbc="T T T"
Ca 0.000 0.000 0.000
Cr 4.882 4.882 4.882
Ni 1.627 1.627 1.627
```

=====

DFT (PBE) results for crystalline HgRuBr6 at its relaxed geometry.

Calculated values
- theoretical density (g cm⁻³) = 4.73
- uncorrected formation energy (meV per atom) = -279.5
- space-group type = C2/m, No. 12

```
8
Lattice="3.582 -5.855 0.000 3.582 5.855 0.000 -2.833 0.000 6.539" Properties=species:S:1:pos:R:3 pbc="T T T"
Hg 0.000 0.000 0.000
Ru 2.165 0.000 3.269
Br 1.195 1.770 1.746
Br 0.108 0.000 4.575
Br 1.195 -1.770 1.746
Br 3.135 1.770 4.793
Br 4.222 0.000 1.964
Br 3.135 -1.770 4.793
```

=====

DFT (PBE) results for crystalline Ac2LaAg4 at its relaxed geometry.

Calculated values
- theoretical density (g cm⁻³) = 7.59
- space-group type = I4/mmm, No. 139
- ΔH_f (0 K) (eV/atom) = -0.0549

```
7
Lattice="-3.676 3.676 4.144 3.676 -3.676 4.144 3.676 3.676 -4.144" Properties=species:S:1:pos:R:3 pbc="T T T"
Ac 3.676 0.000 0.000
Ac 0.000 3.676 0.000
La 0.000 0.000 0.000
Ag 1.838 1.838 -2.072
Ag 1.838 -1.838 2.072
Ag -1.838 1.838 2.072
Ag 1.838 1.838 2.072
```

=====

DFT (PBE) results for crystalline RePCl2 at its relaxed geometry.

Calculated values
- theoretical density (g cm⁻³) = 6.29
- uncorrected formation energy (meV per atom) = 268.8
- space-group type = P4mm, No. 99

```
4
Lattice="2.944 0.000 0.000 0.000 2.944 0.000 0.000 0.000 8.779" Properties=species:S:1:pos:R:3 pbc="T T T"
Re 0.000 0.000 0.000
P 1.472 1.472 7.388
Cl 0.000 0.000 4.770
Cl 1.472 1.472 1.663
```

=====

DFT (PBE) results for crystalline ScAlW2 at its relaxed geometry.

Calculated values
- theoretical density (g cm⁻³) = 10.78
- space-group type = Cmmm, No. 65
- ΔH_f (0 K) (eV/atom) = 0.1773

```
4
Lattice="2.759 -4.480 0.000 2.759 4.480 0.000 0.000 0.000 2.739" Properties=species:S:1:pos:R:3 pbc="T T T"
Sc 0.000 0.000 0.000
Al 2.759 0.000 0.000
W 1.380 2.240 1.369
W 1.380 -2.240 1.369
```

=====

DFT (PBE) results for crystalline Ce2DyBe2O6 at its relaxed geometry.

Calculated values
- theoretical density (g cm⁻³) = 5.02
- uncorrected formation energy (meV per atom) = -2741.3
- space-group type = P-3, No. 147

```
11
Lattice="5.709 0.000 0.000 -2.854 4.944 0.000 0.000 0.000 6.524" Properties=species:S:1:pos:R:3 pbc="T T T"
Ce 0.000 3.296 2.036
Ce 2.854 1.648 4.489
Dy 0.000 0.000 3.262
Be 0.000 3.296 4.788
Be 2.854 1.648 1.736
O -0.563 1.876 4.415
O -0.948 4.493 4.415
O 1.344 1.425 2.109
O 1.511 3.518 4.415
O 3.802 0.451 2.109
O 3.417 3.067 2.109
```

=====

DFT (PBE) results for crystalline CeDyCo at its relaxed geometry.

Calculated values
- theoretical density (g cm⁻³) = 8.60
- space-group type = I4mm, No. 107
- ΔH_f (0 K) (eV/atom) = -0.0557

```
3
Lattice="-1.681 1.681 6.172 1.681 -1.681 6.172 1.681 1.681 -6.172" Properties=species:S:1:pos:R:3 pbc="T T T"
Ce 0.000 0.000 0.000
Dy 0.000 0.000 9.142
Co 0.000 0.000 4.688
```

=====

DFT (PBE) results for crystalline TlCdIn2Hg4 at its relaxed geometry.

Calculated values
- theoretical density (g cm⁻³) = 9.70
- space-group type = P2/m, No. 10
- ΔH_f (0 K) (eV/atom) = 0.0328

```
8
Lattice="7.352 0.000 0.000 0.000 4.411 0.000 -2.519 0.000 7.118" Properties=species:S:1:pos:R:3 pbc="T T T"
Tl 0.000 0.000 0.000
Cd 3.676 2.206 0.000
In -1.260 2.206 3.559
In 2.416 0.000 3.559
Hg 0.019 0.000 5.337
Hg 1.289 2.206 1.842
Hg 3.544 2.206 5.276
Hg 4.814 0.000 1.781
```

=====

DFT (PBE) results for crystalline KNaNpSe3 at its relaxed geometry.

Calculated values
- theoretical density (g cm⁻³) = 5.12
- uncorrected formation energy (meV per atom) = -1182.8
- space-group type = P2_1/m, No. 11

```
12
Lattice="7.966 0.000 0.000 0.000 4.246 0.000 -0.526 0.000 10.283" Properties=species:S:1:pos:R:3 pbc="T T T"
K 0.517 1.061 1.710
K 6.923 3.184 8.573
Na 1.708 3.184 5.110
Na 5.732 1.061 5.173
Np 2.901 1.061 8.437
Np 4.540 3.184 1.846
Se 0.675 1.061 6.892
Se 1.889 3.184 10.139
Se 3.320 1.061 3.278
Se 4.120 3.184 7.005
Se 5.552 1.061 0.144
Se 6.766 3.184 3.391
```

=====

DFT (PBE) results for crystalline Nb4MoW2 at its relaxed geometry.

Calculated values
- theoretical density (g cm⁻³) = 10.58
- space-group type = I4/mmm, No. 139
- ΔH_f (0 K) (eV/atom) = 0.2814

```
7
Lattice="-3.211 3.211 3.180 3.211 -3.211 3.180 3.211 3.211 -3.180" Properties=species:S:1:pos:R:3 pbc="T T T"
Nb 1.605 1.605 -1.590
Nb 1.605 -1.605 1.590
Nb -1.605 1.605 1.590
Nb 1.605 1.605 1.590
Mo 0.000 0.000 0.000
W 3.211 0.000 0.000
W 0.000 3.211 0.000
```

=====

DFT (PBE) results for crystalline AcSnB12 at its relaxed geometry.

Calculated values
- theoretical density (g cm⁻³) = 5.31
- space-group type = Fm-3m, No. 225
- ΔH_f (0 K) (eV/atom) = -0.1719

```
14
Lattice="0.000 4.204 4.204 4.204 0.000 4.204 4.204 4.204 0.000" Properties=species:S:1:pos:R:3 pbc="T T T"
Ac 0.000 0.000 0.000
Sn 4.204 4.204 4.204
B 2.102 2.102 0.846
B 2.102 0.846 2.102
B 3.357 2.102 2.102
B 0.846 2.102 2.102
B 2.102 3.357 2.102
B 2.102 2.102 3.357
B 6.305 6.305 5.050
B 6.305 5.050 6.305
B 7.561 6.305 6.305
B 5.050 6.305 6.305
B 6.305 7.561 6.305
B 6.305 6.305 7.561
```

=====

DFT (PBE) results for crystalline Tb7Sm12In at its relaxed geometry.

Calculated values
- theoretical density (g cm⁻³) = 7.59
- space-group type = R-3, No. 148
- ΔH_f (0 K) (eV/atom) = 0.1516

```
20
Lattice="6.102 3.523 5.145 -6.102 3.523 5.145 0.000 -7.046 5.145" Properties=species:S:1:pos:R:3 pbc="T T T"
Tb 0.000 0.000 0.000
Tb -1.449 -1.411 4.666
Tb -0.497 1.961 4.666
Tb 1.947 -0.550 4.666
Tb -1.947 0.550 10.768
Tb 0.497 -1.961 10.768
Tb 1.449 1.411 10.768
Sm -2.169 -4.967 6.405
Sm -5.386 -0.605 9.029
Sm -3.165 0.924 7.036
Sm -2.383 -2.279 8.399
Sm -3.217 4.362 6.405
Sm 0.782 -3.203 7.036
Sm -0.782 3.203 8.399
Sm 3.217 -4.362 9.029
Sm 2.383 2.279 7.036
Sm 3.165 -0.924 8.399
Sm 5.386 0.605 6.405
Sm 2.169 4.967 9.029
In 0.000 0.000 7.717
```

=====

DFT (PBE) results for crystalline CaLa2IrI at its relaxed geometry.

Calculated values
- theoretical density (g cm⁻³) = 5.81
- uncorrected formation energy (meV per atom) = -600.3
- space-group type = P4/mmm, No. 123

```
5
Lattice="5.555 0.000 0.000 0.000 5.555 0.000 0.000 0.000 5.896" Properties=species:S:1:pos:R:3 pbc="T T T"
Ca 0.000 0.000 0.000
La 0.000 2.778 2.948
La 2.778 0.000 2.948
Ir 0.000 0.000 2.948
I 2.778 2.778 0.000
```

=====

DFT (PBE) results for crystalline LaSc2Mn at its relaxed geometry.

Calculated values
- theoretical density (g cm⁻³) = 4.86
- space-group type = Pmmm, No. 47
- ΔH_f (0 K) (eV/atom) = 0.2203

```
4
Lattice="4.251 0.000 0.000 0.000 4.659 0.000 0.000 0.000 4.895" Properties=species:S:1:pos:R:3 pbc="T T T"
La 0.000 0.000 0.000
Sc 0.000 2.330 2.447
Sc 2.126 0.000 2.447
Mn 2.126 2.330 0.000
```

=====

DFT (PBE) results for crystalline Cs3YO3 at its relaxed geometry.

Calculated values
- theoretical density (g cm⁻³) = 4.50
- uncorrected formation energy (meV per atom) = -1902.8
- space-group type = C2/m, No. 12

```
14
Lattice="3.978 -6.512 0.000 3.978 6.512 0.000 -1.455 0.000 7.627" Properties=species:S:1:pos:R:3 pbc="T T T"
Cs 3.978 3.696 0.000
Cs 3.250 3.087 3.814
Cs 2.604 0.000 1.132
Cs 3.896 0.000 6.495
Cs 3.250 -3.087 3.814
Cs 3.978 -3.696 0.000
Y 0.410 0.000 4.982
Y 6.091 0.000 2.646
O 0.332 0.000 2.777
O 1.257 1.763 5.852
O 1.257 -1.763 5.852
O 5.243 1.763 1.776
O 5.243 -1.763 1.776
O 6.168 0.000 4.851
```

=====

DFT (PBE) results for crystalline Li3PbC at its relaxed geometry.

Calculated values
- theoretical density (g cm⁻³) = 2.75
- space-group type = Pm-3m, No. 221
- ΔH_f (0 K) (eV/atom) = 1.4116

```
5
Lattice="5.255 0.000 0.000 0.000 5.255 0.000 0.000 0.000 5.255" Properties=species:S:1:pos:R:3 pbc="T T T"
Li 0.000 0.000 2.627
Li 0.000 2.627 0.000
Li 2.627 0.000 0.000
Pb 0.000 0.000 0.000
C 2.627 2.627 2.627
```

=====

DFT (PBE) results for crystalline Ag5W3 at its relaxed geometry.

Calculated values
- theoretical density (g cm⁻³) = 12.55
- space-group type = P6_3/mcm, No. 193
- ΔH_f (0 K) (eV/atom) = 1.0722

```
16
Lattice="8.209 0.000 0.000 -4.105 7.109 0.000 0.000 0.000 4.948" Properties=species:S:1:pos:R:3 pbc="T T T"
Ag -0.861 1.492 1.237
Ag -3.243 5.617 3.711
Ag 1.723 0.000 1.237
Ag 0.861 1.492 3.711
Ag 0.000 4.740 0.000
Ag 0.000 4.740 2.474
Ag 4.105 2.370 0.000
Ag 4.105 2.370 2.474
Ag 6.486 0.000 3.711
Ag 3.243 5.617 1.237
W -1.744 3.022 3.711
W -2.360 4.088 1.237
W 3.489 0.000 3.711
W 1.744 3.022 1.237
W 4.720 0.000 1.237
W 2.360 4.088 3.711
```

=====

DFT (PBE) results for crystalline Si5C at its relaxed geometry.

Calculated values
- theoretical density (g cm⁻³) = 3.11
- uncorrected formation energy (meV per atom) = 748.1
- space-group type = Amm2, No. 38

```
6
Lattice="2.913 0.000 0.000 0.000 2.420 5.770 0.000 -2.420 5.770" Properties=species:S:1:pos:R:3 pbc="T T T"
Si 0.000 0.000 0.000
Si 0.000 0.000 2.638
Si 0.000 0.000 7.501
Si 1.457 0.000 4.792
Si 1.457 0.000 9.507
C 1.457 0.000 1.267
```

=====

DFT (PBE) results for crystalline Ho4Co2Rh at its relaxed geometry.

Calculated values
- theoretical density (g cm⁻³) = 9.61
- space-group type = P1, No. 1
- ΔH_f (0 K) (eV/atom) = -0.3206

```
14
Lattice="6.747 0.000 0.000 -1.844 6.602 0.000 -2.354 -3.273 6.827" Properties=species:S:1:pos:R:3 pbc="T T T"
Ho 0.000 0.000 0.000
Ho -1.300 -0.477 3.332
Ho -2.192 2.826 3.964
Ho -2.170 0.330 6.692
Ho 1.142 1.873 2.801
Ho 3.395 0.043 0.668
Ho 2.214 -1.601 4.559
Ho 3.570 3.569 0.677
Co -0.828 4.951 2.047
Co 0.081 1.884 5.404
Co 1.487 4.501 2.217
Co 5.436 1.795 1.574
Rh -0.327 -1.507 5.786
Rh 2.538 1.141 5.029
```

=====

DFT (PBE) results for crystalline Na2MnSi3Pt4 at its relaxed geometry.

Calculated values
- theoretical density (g cm⁻³) = 9.21
- uncorrected formation energy (meV per atom) = -546.0
- space-group type = P-4m2, No. 115

```
10
Lattice="4.066 0.000 0.000 0.000 4.066 0.000 0.000 0.000 10.527" Properties=species:S:1:pos:R:3 pbc="T T T"
Na 0.000 2.033 2.630
Na 2.033 0.000 7.897
Mn 0.000 0.000 5.264
Si 0.000 2.033 9.130
Si 2.033 0.000 1.397
Si 2.033 2.033 5.264
Pt 0.000 0.000 0.000
Pt 0.000 2.033 6.776
Pt 2.033 0.000 3.751
Pt 2.033 2.033 0.000
```

=====

| no. | magnetic moment (μB/cell) |
| --- | --- |
| 1 | 4.6 |
| 2 | 2.0 |
| 3 | 0.0 |
| 4 | 0.0 |
| 5 | 0.0 |
| 6 | 2.8 |
| 7 | 0.8 |
| 8 | 0.0 |
| 9 | 6.0 |
| 10 | 0.0 |
| 11 | 0.0 |
| 12 | 0.0 |
| 13 | 0.0 |
| 14 | 2.2 |
| 15 | 0.3 |
| 16 | 1.0 |
| 17 | 0.0 |
| 18 | 0.0 |
| 19 | 0.0 |
| 20 | 3.7 |